[1]
First-principles (PBE-GGA) data for SmPuTc after structural relaxation, as listed in the Alexandria database.

energy: -9.7887 eV/atom
polymorph energy (0 for the lowest one): 0 meV per atom
energy of formation from the pure elements: 17 meV/atom
mass density: 11.18 g/cm3

a b c (Å): 4.1048 5.9998 6.6810
angles (deg): 78.20 72.11 70.00
Last column: magnetic moment on the atom in μB.
Sites, in units of the cell vectors:
1 Sm 0.9240 0.8025 0.3495  0.14
2 Sm 0.0760 0.1975 0.6505  0.14
3 Pu 0.3133 0.2744 0.0990  4.91
4 Pu 0.6867 0.7256 0.9010  4.91
5 Tc 0.6605 0.3840 0.2951  -0.61
6 Tc 0.3395 0.6160 0.7049  -0.61



[2]
First-principles (PBE-GGA) data for SmPuTc4 after structural relaxation, as listed in the Alexandria database.

energy: -10.0601 eV/atom
energy of formation from the pure elements: 26 meV/atom
mass density: 11.62 g/cm3

a b c (Å): 5.4168 5.4168 5.4168
angles (deg): 60.00 60.00 60.00
Last column: magnetic moment on the atom in μB.
Sites, in units of the cell vectors:
1 Tc 0.6250 0.6250 0.1250  0.12
2 Tc 0.6250 0.1250 0.6250  0.12
3 Tc 0.6250 0.6250 0.6250  0.12
4 Tc 0.1250 0.6250 0.6250  0.12
5 Sm 0.2500 0.2500 0.2500  0.03
6 Pu 0.0000 0.0000 0.0000  5.00



[3]
First-principles (PBE-GGA) data for Sm3Pu2Tc4 after structural relaxation, as listed in the Alexandria database.

energy: -9.3862 eV/atom
energy of formation from the pure elements: -21 meV/atom
mass density: 10.67 g/cm3

a b c (Å): 4.2974 5.9715 8.8501
angles (deg): 101.26 90.00 111.09
Last column: magnetic moment on the atom in μB.
Sites, in units of the cell vectors:
1 Sm 0.3754 0.7509 0.6157  0.04
2 Sm 0.0000 0.0000 0.0000  0.01
3 Sm 0.6246 0.2491 0.3843  0.04
4 Pu 0.3296 0.6592 0.2227  4.19
5 Pu 0.6704 0.3408 0.7773  4.19
6 Tc 0.7293 0.4586 0.0931  -0.57
7 Tc 0.0867 0.1735 0.6352  -0.46
8 Tc 0.9133 0.8265 0.3648  -0.46
9 Tc 0.2707 0.5414 0.9069  -0.57



[4]
First-principles (PBE-GGA) data for SmPuTc2 after structural relaxation, as listed in the Alexandria database.

energy: -9.8568 eV/atom
polymorph energy (0 for the lowest one): 0 meV per atom
energy of formation from the pure elements: 89 meV/atom
mass density: 12.13 g/cm3

a b c (Å): 3.3706 3.3706 7.1157
angles (deg): 90.00 90.00 90.00
Last column: magnetic moment on the atom in μB.
Sites, in units of the cell vectors:
1 Tc 0.0000 0.0000 0.7909  -0.72
2 Tc 0.0000 0.0000 0.2091  -0.72
3 Sm 0.5000 0.5000 0.5000  0.05
4 Pu 0.5000 0.5000 0.0000  4.24



[5]
First-principles (PBE-GGA) data for SmPu3Tc2 after structural relaxation, as listed in the Alexandria database.

energy: -11.3300 eV/atom
energy of formation from the pure elements: 78 meV/atom
mass density: 12.90 g/cm3

a b c (Å): 6.1154 6.7390 6.7380
angles (deg): 89.59 90.01 90.01
Last column: magnetic moment on the atom in μB.
Sites, in units of the cell vectors:
1 Sm 0.2500 0.4156 0.4156  0.19
2 Sm 0.7500 0.5844 0.5844  0.19
3 Pu 0.7500 0.4280 0.0935  5.28
4 Pu 0.7500 0.0934 0.4280  5.28
5 Pu 0.2500 0.5720 0.9065  5.28
6 Pu 0.7500 0.9289 0.9289  4.73
7 Pu 0.2500 0.0711 0.0711  4.73
8 Pu 0.2500 0.9066 0.5720  5.28
9 Tc 0.5000 0.7820 0.2180  -0.73
10 Tc 0.0000 0.7820 0.2180  -0.73
11 Tc 0.0000 0.2180 0.7820  -0.73
12 Tc 0.5000 0.2180 0.7820  -0.73



[6]
First-principles (PBE-GGA) data for SmPuTc after structural relaxation, as listed in the Alexandria database.

energy: -9.7595 eV/atom
polymorph energy (0 for the lowest one): 29 meV per atom
energy of formation from the pure elements: 46 meV/atom
mass density: 10.91 g/cm3

a b c (Å): 6.8715 6.3555 6.9929
angles (deg): 78.92 90.00 90.00
Last column: magnetic moment on the atom in μB.
Sites, in units of the cell vectors:
1 Tc 0.5120 0.2050 0.5483  -0.60
2 Tc 0.0120 0.7950 0.9517  -0.60
3 Tc 0.4880 0.7950 0.4517  -0.60
4 Tc 0.9880 0.2050 0.0483  -0.60
5 Sm 0.6835 0.4985 0.8143  0.05
6 Sm 0.8165 0.4985 0.3143  0.05
7 Sm 0.3165 0.5015 0.1857  0.05
8 Sm 0.1835 0.5015 0.6857  0.05
9 Pu 0.3214 0.9818 0.8286  4.96
10 Pu 0.1786 0.9818 0.3286  4.96
11 Pu 0.6786 0.0182 0.1714  4.96
12 Pu 0.8214 0.0182 0.6714  4.96



[7]
First-principles (PBE-GGA) data for SmPuTc2 after structural relaxation, as listed in the Alexandria database.

energy: -9.7942 eV/atom
polymorph energy (0 for the lowest one): 63 meV per atom
energy of formation from the pure elements: 152 meV/atom
mass density: 10.96 g/cm3

a b c (Å): 3.9650 5.9265 15.2189
angles (deg): 90.00 90.00 90.00
Last column: magnetic moment on the atom in μB.
Sites, in units of the cell vectors:
1 Sm 0.7500 0.9720 0.1134  0.02
2 Sm 0.2500 0.5280 0.6134  0.02
3 Sm 0.2500 0.0280 0.8866  0.02
4 Sm 0.7500 0.4720 0.3866  0.02
5 Pu 0.2500 0.9277 0.4274  5.03
6 Pu 0.7500 0.0723 0.5726  5.03
7 Pu 0.2500 0.4277 0.0726  5.03
8 Pu 0.7500 0.5723 0.9274  5.03
9 Tc 0.2500 0.1874 0.2472  -0.06
10 Tc 0.7500 0.9983 0.3187  -0.35
11 Tc 0.2500 0.0017 0.6813  -0.35
12 Tc 0.7500 0.3126 0.7472  -0.06
13 Tc 0.2500 0.5017 0.8187  -0.35
14 Tc 0.2500 0.6874 0.2528  -0.06
15 Tc 0.7500 0.8126 0.7528  -0.06
16 Tc 0.7500 0.4983 0.1813  -0.35



[8]
First-principles (PBE-GGA) data for SmPuTc after structural relaxation, as listed in the Alexandria database.

energy: -9.6753 eV/atom
polymorph energy (0 for the lowest one): 113 meV per atom
energy of formation from the pure elements: 130 meV/atom
mass density: 11.78 g/cm3

a b c (Å): 3.6863 4.6632 4.6632
angles (deg): 120.00 90.00 90.00
Last column: magnetic moment on the atom in μB.
Sites, in units of the cell vectors:
1 Tc 0.1666 0.6667 0.3333  -0.48
2 Sm 0.6667 0.3333 0.6667  0.19
3 Pu 0.1667 0.0000 0.0000  5.16



[9]
First-principles (PBE-GGA) data for SmPuTc2 after structural relaxation, as listed in the Alexandria database.

energy: -9.7760 eV/atom
polymorph energy (0 for the lowest one): 81 meV per atom
energy of formation from the pure elements: 170 meV/atom
mass density: 12.26 g/cm3

a b c (Å): 4.8363 4.8363 4.8363
angles (deg): 60.00 60.00 60.00
Last column: magnetic moment on the atom in μB.
Sites, in units of the cell vectors:
1 Tc 0.2500 0.2500 0.2500  -0.73
2 Tc 0.7500 0.7500 0.7500  -0.73
3 Sm 0.5000 0.5000 0.5000  -0.01
4 Pu 0.0000 0.0000 0.0000  4.68



[10]
First-principles (PBE-GGA) data for SmPuTc after structural relaxation, as listed in the Alexandria database.

energy: -9.7209 eV/atom
polymorph energy (0 for the lowest one): 68 meV per atom
energy of formation from the pure elements: 85 meV/atom
mass density: 11.63 g/cm3

a b c (Å): 3.4295 3.4295 6.4523
angles (deg): 105.41 105.41 90.00
Last column: magnetic moment on the atom in μB.
Sites, in units of the cell vectors:
1 Tc 0.6790 0.6790 0.3579  -0.53
2 Sm 0.0185 0.0185 0.0370  0.17
3 Pu 0.3026 0.3026 0.6051  5.12



[11]
First-principles (PBE-GGA) data for SmPuTc2 after structural relaxation, as listed in the Alexandria database.

energy: -9.7382 eV/atom
polymorph energy (0 for the lowest one): 119 meV per atom
energy of formation from the pure elements: 208 meV/atom
mass density: 12.19 g/cm3

a b c (Å): 3.3998 4.8636 4.8636
angles (deg): 90.00 90.00 90.00
Last column: magnetic moment on the atom in μB.
Sites, in units of the cell vectors:
1 Tc 0.0000 0.0000 0.5000  -0.75
2 Tc 0.0000 0.5000 0.0000  -0.75
3 Sm 0.5000 0.5000 0.5000  0.07
4 Pu 0.5000 0.0000 0.0000  4.64



[12]
First-principles (PBE-GGA) data for Sm2PuTe after structural relaxation, as listed in the Alexandria database.

energy: -7.1535 eV/atom
polymorph energy (0 for the lowest one): 54 meV per atom
mass density: 10.01 g/cm3
uncorrected formation energy: -164 kJ/mol of formula units

a b c (Å): 4.5119 4.9719 4.9719
angles (deg): 90.00 90.00 90.00
Last column: magnetic moment on the atom in μB.
Sites, in units of the cell vectors:
1 Te 0.5000 0.0000 0.0000  -0.02
2 Sm 0.0000 0.0000 0.5000  0.11
3 Sm 0.0000 0.5000 0.0000  0.11
4 Pu 0.5000 0.5000 0.5000  5.59



> What is the energy in the first record?

-9.7887 eV/atom



What did the eighth record say?
First-principles (PBE-GGA) data for SmPuTc after structural relaxation, as listed in the Alexandria database.

energy: -9.6753 eV/atom
polymorph energy (0 for the lowest one): 113 meV per atom
energy of formation from the pure elements: 130 meV/atom
mass density: 11.78 g/cm3

a b c (Å): 3.6863 4.6632 4.6632
angles (deg): 120.00 90.00 90.00
Last column: magnetic moment on the atom in μB.
Sites, in units of the cell vectors:
1 Tc 0.1666 0.6667 0.3333  -0.48
2 Sm 0.6667 0.3333 0.6667  0.19
3 Pu 0.1667 0.0000 0.0000  5.16



> mass density of number 9 (SmPuTc2)?

12.26 g/cm3



> Number 9 is which compound?

SmPuTc2